VASP calculation (PBE) on an optimized crystal structure of MgUTe2.

Properties
* symmetry: R-3m (166)
* E_form (uncorrected): -1.29 eV per formula unit
* E_tot: -0.1880 hartree per atom
* distance to the lowest polymorph of the same formula: 162 meV per atom

Cell lengths 4.058, 4.058, 9.977 Å; angles 78.27, 78.27, 60.00 degrees
Site moments in Bohr magnetons follow the coordinates.
Positions (direct):
Te1 0.901 0.901 0.297  -0.08
Te2 0.099 0.099 0.703  -0.08
Mg1 0.000 0.000 0.000  0.00
U1 0.500 0.500 0.500  2.42

=====

VASP calculation (PBE) on an optimized crystal structure of MgVTe.

Properties
* symmetry: P4/nmm (129)
* E_form (uncorrected): -0.16 eV per formula unit
* E_tot: -0.1717 hartree per atom

Cell lengths 4.311, 4.311, 6.627 Å; angles 90.00, 90.00, 90.00 degrees
Site moments in Bohr magnetons follow the coordinates.
Positions (direct):
Mg1 0.000 0.500 0.795  0.00
Mg2 0.500 0.000 0.205  0.00
V1 0.000 0.000 0.500  1.03
V2 0.500 0.500 0.500  1.03
Te1 0.000 0.500 0.238  -0.02
Te2 0.500 0.000 0.762  -0.02

=====

VASP calculation (PBE) on an optimized crystal structure of MgV2Te.

Properties
* symmetry: Fm-3m (225)
* E_form (uncorrected): 1.61 eV per formula unit
* E_tot: -0.1963 hartree per atom
* distance to the lowest polymorph of the same formula: 0 meV per atom

Cell lengths 4.628, 4.628, 4.628 Å; angles 60.00, 60.00, 60.00 degrees
Site moments in Bohr magnetons follow the coordinates.
Positions (direct):
V1 0.750 0.750 0.750  1.79
V2 0.250 0.250 0.250  1.79
Mg1 0.000 0.000 0.000  0.02
Te1 0.500 0.500 0.500  -0.02

=====

VASP calculation (PBE) on an optimized crystal structure of MgV2Te.

Properties
* symmetry: I-42d (122)
* E_form (uncorrected): 2.59 eV per formula unit
* E_tot: -0.1873 hartree per atom
* distance to the lowest polymorph of the same formula: 245 meV per atom

Cell lengths 7.451, 7.451, 5.971 Å; angles 51.39, 51.39, 90.00 degrees
Site moments in Bohr magnetons follow the coordinates.
Positions (direct):
Te1 0.750 0.250 0.500  -0.02
Te2 0.000 0.000 0.000  -0.02
V1 0.875 0.897 0.750  0.88
V2 0.103 0.625 0.250  0.88
V3 0.375 0.353 0.750  0.88
V4 0.647 0.125 0.250  0.88
Mg1 0.250 0.750 0.500  -0.01
Mg2 0.500 0.500 0.000  -0.01